# GdCoSi2Ir2 | OQMD | PBE-GGA | optimized geometry
data_GdCoSi2Ir2
_chemical_formula_sum 'Gd1 Co1 Si2 Ir2'
_symmetry_space_group_name_H-M 'P 1'
_symmetry_Int_Tables_number 1
_symmetry_space_group_name_Hall 'P 1'
_cell_length_a 5.3482
_cell_length_b 5.3482
_cell_length_c 3.6574
_cell_angle_alpha 90.00
_cell_angle_beta 90.00
_cell_angle_gamma 117.46
loop_
_atom_site_label
_atom_site_type_symbol
_atom_site_fract_x
_atom_site_fract_y
_atom_site_fract_z
Gd1 Gd 0.0000 0.0000 0.0000
Co1 Co 0.5000 0.5000 0.5000
Si1 Si 0.3468 0.6532 0.0000
Si2 Si 0.6532 0.3468 0.0000
Ir1 Ir 0.0000 0.5000 0.5000
Ir2 Ir 0.5000 0.0000 0.5000
# - Spin magnetization: 0.00 μB per cell
# - Symmetry: Cmmm, No. 65
# - Theoretical density: 11.75 g cm⁻³
# - Final energy: -45.662 eV/cell